# 1
Material: GdThGaRh
Method: DFT, GGA-PBE
State: optimized geometry

Formation energy from the elements (eV/atom): -0.56
Fermi-level density of states (states/eV/cell): 3.592
Space group: F-43m
Total magnetization (μB per formula unit): 7.07

Unit cell a=5.0851 b=5.0851 c=5.0851 alpha=60.00 beta=60.00 gamma=60.00
Closest atoms and distances in Å follow each position.
Fractional coordinates of all 4 atoms:
1 Gd 0.0000 0.0000 0.0000  4 Ga 3.11, 4 Rh 3.11
2 Th 0.5000 0.5000 0.5000  4 Ga 3.11, 4 Rh 3.11
3 Ga 0.7500 0.7500 0.7500  4 Th 3.11, 4 Gd 3.11
4 Rh 0.2500 0.2500 0.2500  4 Th 3.11, 4 Gd 3.11


# 2
Material: GdZnGaRh
Method: DFT, GGA-PBE
State: optimized geometry

Formation energy from the elements (eV/atom): -0.50
Fermi-level density of states (states/eV/cell): 3.546
Space group: F-43m
Total magnetization (μB per formula unit): 7.20

Unit cell a=4.6466 b=4.6466 c=4.6466 alpha=60.00 beta=60.00 gamma=60.00
Closest atoms and distances in Å follow each position.
Fractional coordinates of all 4 atoms:
1 Gd 0.0000 0.0000 0.0000  4 Zn 2.85, 4 Ga 2.85
2 Zn 0.7500 0.7500 0.7500  4 Gd 2.85, 4 Rh 2.85
3 Ga 0.2500 0.2500 0.2500  4 Gd 2.85, 4 Rh 2.85
4 Rh 0.5000 0.5000 0.5000  4 Zn 2.85, 4 Ga 2.85


# 3
Material: Gd2GaRu
Method: DFT, GGA-PBE
State: optimized geometry

Formation energy from the elements (eV/atom): 0.10
Fermi-level density of states (states/eV/cell): 4.679
Space group: R-3m
Total magnetization (μB per formula unit): 14.59

Unit cell a=10.2341 b=10.2341 c=10.2341 alpha=19.82 beta=19.82 gamma=19.82
Closest atoms and distances in Å follow each position.
Fractional coordinates of all 4 atoms:
1 Gd 0.1030 0.1030 0.1030  3 Ru 2.79, 1 Ga 3.10
2 Gd 0.8970 0.8970 0.8970  3 Ru 2.79, 1 Ga 3.10
3 Ga 0.0000 0.0000 0.0000  2 Gd 3.10
4 Ru 0.5000 0.5000 0.5000  6 Gd 2.79


# 4
Material: GdGaRu2
Method: DFT, GGA-PBE
State: optimized geometry

Formation energy from the elements (eV/atom): -0.22
Fermi-level density of states (states/eV/cell): 4.852
Space group: P4/mmm
Total magnetization (μB per formula unit): 6.60

Unit cell a=4.4589 b=4.4589 c=3.4003 alpha=90.00 beta=90.00 gamma=90.00
Closest atoms and distances in Å follow each position.
Fractional coordinates of all 4 atoms:
1 Gd 0.0000 0.0000 0.0000  8 Ru 2.80
2 Ga 0.5000 0.5000 0.0000  8 Ru 2.80
3 Ru 0.0000 0.5000 0.5000  4 Gd 2.80, 4 Ga 2.80
4 Ru 0.5000 0.0000 0.5000  4 Gd 2.80, 4 Ga 2.80


# 5
Material: GdGaRu2
Method: DFT, GGA-PBE
State: optimized geometry

Formation energy from the elements (eV/atom): -0.22
Fermi-level density of states (states/eV/cell): 3.878
Space group: P4/mmm
Total magnetization (μB per formula unit): 6.69

Unit cell a=3.2719 b=3.2719 c=6.3888 alpha=90.00 beta=90.00 gamma=90.00
Closest atoms and distances in Å follow each position.
Fractional coordinates of all 4 atoms:
1 Gd 0.0000 0.0000 0.0000  8 Ru 2.95, 2 Ga 3.19, 4 Gd 3.27
2 Ga 0.0000 0.0000 0.5000  8 Ru 2.68
3 Ru 0.5000 0.5000 0.2877  4 Ga 2.68, 1 Ru 2.71, 4 Gd 2.95
4 Ru 0.5000 0.5000 0.7123  4 Ga 2.68, 1 Ru 2.71, 4 Gd 2.95


# 6
Material: Gd2GaRu
Method: DFT, GGA-PBE
State: optimized geometry

Formation energy from the elements (eV/atom): -0.46
Fermi-level density of states (states/eV/cell): 1.802
Space group: P4/mmm
Total magnetization (μB per formula unit): 14.20

Unit cell a=3.5128 b=3.5128 c=7.1361 alpha=90.00 beta=90.00 gamma=90.00
Closest atoms and distances in Å follow each position.
Fractional coordinates of all 4 atoms:
1 Gd 0.0000 0.0000 0.2341  4 Ru 2.99, 4 Ga 3.13, 1 Gd 3.34
2 Gd 0.0000 0.0000 0.7659  4 Ru 2.99, 4 Ga 3.13, 1 Gd 3.34
3 Ga 0.5000 0.5000 0.5000  8 Gd 3.13
4 Ru 0.5000 0.5000 0.0000  8 Gd 2.99


Q: Which of these has the highest total magnetization?
A: number 3